# 1
Computed, not measured: a geometry-optimized Ca5Mg2Cd structure at the PBE-GGA level of DFT.

Cell and atoms, written as extended XYZ:
```
16
Lattice="7.0388 0.0000 0.0000 0.0000 13.6349 0.0000 0.0000 0.0000 5.5247" Properties=species:S:1:pos:R:3 pbc="T T T"
Ca 0.0000 0.0000 0.0000
Ca 0.8382 3.7139 0.0000
Ca 1.1635 8.2633 2.7624
Ca 2.3559 1.4459 2.7624
Ca 2.6812 10.5313 0.0000
Ca 3.5194 6.8175 0.0000
Ca 4.3576 3.1036 0.0000
Ca 4.6829 12.1891 2.7624
Ca 5.8753 5.3716 2.7624
Ca 6.2006 9.9210 0.0000
Mg 1.0602 11.8091 2.7624
Mg 2.4592 4.9917 2.7624
Mg 4.5796 8.6433 2.7624
Mg 5.9787 1.8258 2.7624
Cd 0.0000 6.8175 0.0000
Cd 3.5194 0.0000 0.0000
```

## Properties
* Fermi-level density of states: 0.9770 states/eV per atom
* formation energy: -118 meV per atom
* space-group type: Pbam (55)

# 2
Computed, not measured: a geometry-optimized CaMg4Cd2 structure at the PBE-GGA level of DFT.

Cell and atoms, written as extended XYZ:
```
14
Lattice="8.5801 0.0000 0.0000 0.0000 8.5801 0.0000 0.0000 0.0000 4.7462" Properties=species:S:1:pos:R:3 pbc="T T T"
Ca 0.0000 0.0000 0.0000
Ca 4.2901 4.2901 2.3731
Mg 0.8468 3.0156 2.3731
Mg 1.2745 5.1368 0.0000
Mg 3.0156 0.8468 2.3731
Mg 3.4433 7.3056 0.0000
Mg 5.1368 1.2745 0.0000
Mg 5.5646 7.7333 2.3731
Mg 7.3056 3.4433 0.0000
Mg 7.7333 5.5646 2.3731
Cd 1.8104 6.7697 2.3731
Cd 2.4797 2.4797 0.0000
Cd 6.1004 6.1004 0.0000
Cd 6.7697 1.8104 2.3731
```

## Properties
* Fermi-level density of states: 0.5465 states/eV per atom
* formation energy: -139 meV per atom
* space-group type: P4_2/mnm (136)

# 3
Computed, not measured: a geometry-optimized Ca2MgCd structure at the PBE-GGA level of DFT.

Cell and atoms, written as extended XYZ:
```
4
Lattice="0.0000 3.8121 3.8121 3.8121 0.0000 3.8121 3.8121 3.8121 0.0000" Properties=species:S:1:pos:R:3 pbc="T T T"
Ca 0.0000 0.0000 0.0000
Ca 1.9061 1.9061 1.9061
Mg 5.7182 5.7182 5.7182
Cd 3.8121 3.8121 3.8121
```

## Properties
* E above lowest polymorph: 0.091 eV/atom
* Fermi-level density of states: 0.4520 states/eV per atom
* formation energy: -128 meV per atom
* space-group type: F-43m (216)

# 4
Computed, not measured: a geometry-optimized CaMg10Cd3 structure at the PBE-GGA level of DFT.

Cell and atoms, written as extended XYZ:
```
28
Lattice="0.0000 7.1625 7.1625 7.1625 0.0000 7.1625 7.1625 7.1625 0.0000" Properties=species:S:1:pos:R:3 pbc="T T T"
Ca 3.5812 3.5812 3.5812
Ca 10.7437 10.7437 10.7437
Mg 2.4921 2.4921 0.0000
Mg 4.6703 4.6703 0.0000
Mg 2.4921 0.0000 2.4921
Mg 7.1625 4.6703 2.4921
Mg 4.6703 0.0000 4.6703
Mg 7.1625 2.4921 4.6703
Mg 8.8105 5.5144 5.5144
Mg 0.0000 2.4921 2.4921
Mg 4.6703 7.1625 2.4921
Mg 4.6703 2.4921 7.1625
Mg 5.5144 5.5144 5.5144
Mg 8.8105 8.8105 5.5144
Mg 8.8105 5.5144 8.8105
Mg 5.5144 8.8105 5.5144
Mg 5.5144 5.5144 8.8105
Mg 8.8105 8.8105 8.8105
Mg 0.0000 4.6703 4.6703
Mg 2.4921 7.1625 4.6703
Mg 2.4921 4.6703 7.1625
Mg 5.5144 8.8105 8.8105
Cd 7.1625 7.1625 3.8272
Cd 7.1625 3.8272 7.1625
Cd 10.4977 7.1625 7.1625
Cd 3.8272 7.1625 7.1625
Cd 7.1625 10.4977 7.1625
Cd 7.1625 7.1625 10.4977
```

## Properties
* Fermi-level density of states: 0.5076 states/eV per atom
* formation energy: 49 meV per atom
* space-group type: Fm-3m (225)

# 5
Computed, not measured: a geometry-optimized Ca2MgCd2 structure at the PBE-GGA level of DFT.

Cell and atoms, written as extended XYZ:
```
10
Lattice="9.0127 0.0000 0.0000 0.0000 9.0127 0.0000 0.0000 0.0000 3.6728" Properties=species:S:1:pos:R:3 pbc="T T T"
Ca 1.3059 3.2004 0.0000
Ca 3.2004 7.7068 0.0000
Ca 5.8123 1.3059 0.0000
Ca 7.7068 5.8123 0.0000
Mg 0.0000 0.0000 0.0000
Mg 4.5064 4.5064 0.0000
Cd 1.3619 5.8683 1.8364
Cd 3.1445 1.3619 1.8364
Cd 5.8683 7.6508 1.8364
Cd 7.6508 3.1445 1.8364
```

## Properties
* E above lowest polymorph: 0.185 eV/atom
* Fermi-level density of states: 0.6875 states/eV per atom
* formation energy: -81 meV per atom
* space-group type: P4/mbm (127)

# 6
Computed, not measured: a geometry-optimized CaMg4Cd6 structure at the PBE-GGA level of DFT.

Cell and atoms, written as extended XYZ:
```
11
Lattice="-3.6328 3.6328 5.4782 3.6328 -3.6328 5.4782 3.6328 3.6328 -5.4782" Properties=species:S:1:pos:R:3 pbc="T T T"
Ca 0.0000 0.0000 0.0000
Mg 2.4841 2.4841 -1.0332
Mg 1.1488 -1.1488 6.5114
Mg 1.1488 1.1488 4.4449
Mg -1.1488 1.1488 6.5114
Cd 3.6328 0.0000 0.0000
Cd 1.6766 -1.6766 3.5644
Cd 1.9562 1.9562 1.9138
Cd 0.0000 3.6328 0.0000
Cd -1.6766 1.6766 3.5644
Cd 1.6766 1.6766 7.3920
```

## Properties
* Fermi-level density of states: 0.5457 states/eV per atom
* formation energy: 8 meV per atom
* space-group type: I-42m (121)

# 7
Computed, not measured: a geometry-optimized Ca3MgCd7 structure at the PBE-GGA level of DFT.

Cell and atoms, written as extended XYZ:
```
22
Lattice="1.9757 -10.4326 0.0000 1.9757 10.4326 0.0000 0.0000 0.0000 14.5076" Properties=species:S:1:pos:R:3 pbc="T T T"
Ca 1.9757 8.4654 8.1537
Ca 1.9757 8.4654 13.6077
Ca 1.9757 4.6777 3.6269
Ca 1.9757 -4.6777 10.8807
Ca 1.9757 -8.4654 0.8999
Ca 1.9757 -8.4654 6.3539
Mg 1.9757 9.0756 3.6269
Mg 1.9757 -9.0756 10.8807
Cd 1.9757 4.4280 0.6440
Cd 1.9757 4.4280 6.6098
Cd 1.9757 3.4603 9.3819
Cd 1.9757 3.4603 12.3795
Cd 1.9757 1.3728 3.6269
Cd 1.9757 0.6133 8.6557
Cd 1.9757 0.6133 13.1057
Cd 1.9757 -0.6133 1.4019
Cd 1.9757 -0.6133 5.8519
Cd 1.9757 -1.3728 10.8807
Cd 1.9757 -3.4603 2.1281
Cd 1.9757 -3.4603 5.1257
Cd 1.9757 -4.4280 7.8978
Cd 1.9757 -4.4280 13.8636
```

## Properties
* Fermi-level density of states: 0.5345 states/eV per atom
* formation energy: -179 meV per atom
* space-group type: Cmcm (63)

# 8
Computed, not measured: a geometry-optimized Ca3Mg2Cd2 structure at the PBE-GGA level of DFT.

Cell and atoms, written as extended XYZ:
```
7
Lattice="4.1506 0.0000 0.0000 2.0742 5.9747 0.0000 0.0421 1.1416 8.4112" Properties=species:S:1:pos:R:3 pbc="T T T"
Ca 0.0000 0.0000 0.0000
Ca 2.1001 2.3343 5.3618
Ca 4.1668 4.7820 3.0495
Mg 2.0837 2.5842 1.1548
Mg 4.1832 4.5320 7.2565
Cd 2.0996 5.6944 5.4667
Cd 4.1673 1.4219 2.9446
```

## Properties
* Fermi-level density of states: 0.7240 states/eV per atom
* formation energy: -181 meV per atom
* space-group type: P-1 (2)

# 9
Computed, not measured: a geometry-optimized CaMg2Cd structure at the PBE-GGA level of DFT.

Cell and atoms, written as extended XYZ:
```
32
Lattice="17.0256 0.0000 0.0000 0.0000 8.2989 0.0000 0.0000 0.0000 6.0293" Properties=species:S:1:pos:R:3 pbc="T T T"
Ca 1.8230 2.0747 1.4809
Ca 2.3762 6.2241 2.8048
Ca 6.1366 2.0747 5.8194
Ca 6.6898 6.2241 4.4955
Ca 10.3359 2.0747 1.5338
Ca 10.8890 6.2241 0.2099
Ca 14.6495 2.0747 3.2245
Ca 15.2026 6.2241 4.5485
Mg 0.5922 0.4719 4.4628
Mg 0.5922 3.6775 4.4628
Mg 3.6550 4.6194 5.7574
Mg 3.6550 7.8289 5.7574
Mg 4.8578 0.4699 2.7427
Mg 4.8578 3.6795 2.7427
Mg 7.9206 4.6214 1.4482
Mg 7.9206 7.8269 1.4482
Mg 9.1050 0.4719 4.5811
Mg 9.1050 3.6775 4.5811
Mg 12.1678 4.6194 3.2866
Mg 12.1678 7.8289 3.2866
Mg 13.3706 0.4699 0.2719
Mg 13.3706 3.6795 0.2719
Mg 16.4334 4.6214 1.5665
Mg 16.4334 7.8269 1.5665
Cd 1.1818 6.2241 5.8302
Cd 3.1135 2.0747 4.4765
Cd 5.3993 6.2241 1.4619
Cd 7.3311 2.0747 2.8156
Cd 9.6946 6.2241 3.2137
Cd 11.6263 2.0747 4.5674
Cd 13.9121 6.2241 1.5528
Cd 15.8439 2.0747 0.1991
```

## Properties
* Fermi-level density of states: 0.5512 states/eV per atom
* formation energy: -179 meV per atom
* space-group type: Pnma (62)

# 10
Computed, not measured: a geometry-optimized CaMg2Cd2 structure at the PBE-GGA level of DFT.

Cell and atoms, written as extended XYZ:
```
5
Lattice="4.4781 -2.6063 0.0000 4.4781 2.6063 0.0000 -0.1546 0.0000 5.6991" Properties=species:S:1:pos:R:3 pbc="T T T"
Ca 0.0000 0.0000 0.0000
Mg 2.8351 0.0000 3.6674
Mg 5.9666 0.0000 2.0317
Cd 2.9957 0.0000 0.8644
Cd 5.8060 0.0000 4.8347
```

## Properties
* E above lowest polymorph: 0.066 eV/atom
* Fermi-level density of states: 0.5993 states/eV per atom
* formation energy: -116 meV per atom
* space-group type: C2/m (12)

# 11
Computed, not measured: a geometry-optimized CaMg2Cd structure at the PBE-GGA level of DFT.

Cell and atoms, written as extended XYZ:
```
4
Lattice="5.2456 -1.7584 0.0000 5.2456 1.7584 0.0000 -1.1967 0.0000 5.7404" Properties=species:S:1:pos:R:3 pbc="T T T"
Ca 0.0000 0.0000 0.0000
Mg 4.7563 0.0000 2.9026
Mg 7.6430 0.0000 1.7145
Cd 1.7092 0.0000 4.2739
```

## Properties
* Fermi-level density of states: 0.5000 states/eV per atom
* formation energy: -77 meV per atom
* space-group type: Cm (8)

# 12
Computed, not measured: a geometry-optimized Ca4MgCd2 structure at the PBE-GGA level of DFT.

Cell and atoms, written as extended XYZ:
```
7
Lattice="2.7429 1.5836 8.6406 -2.7429 1.5836 8.6406 0.0000 -3.1672 8.6406" Properties=species:S:1:pos:R:3 pbc="T T T"
Ca 0.0000 0.0000 3.0456
Ca 0.0000 0.0000 9.6183
Ca 0.0000 0.0000 16.3035
Ca 0.0000 0.0000 22.8762
Mg 0.0000 0.0000 12.9609
Cd 0.0000 0.0000 6.3135
Cd 0.0000 0.0000 19.6083
```

## Properties
* E above lowest polymorph: 0.000 eV/atom
* Fermi-level density of states: 0.7627 states/eV per atom
* formation energy: -189 meV per atom
* space-group type: R-3m (166)

# 13
Computed, not measured: a geometry-optimized CaMg4Cd structure at the PBE-GGA level of DFT.

Cell and atoms, written as extended XYZ:
```
12
Lattice="6.4733 -3.2411 0.0000 6.4733 3.2411 0.0000 -3.1123 0.0000 7.4929" Properties=species:S:1:pos:R:3 pbc="T T T"
Ca 1.6575 0.0000 2.5031
Ca 8.1768 0.0000 4.9898
Mg 4.9339 1.5872 0.4186
Mg 0.3224 0.0000 5.5823
Mg 4.9172 1.6157 3.7465
Mg 4.9004 1.5872 7.0744
Mg 4.9339 -1.5872 0.4186
Mg 4.9172 -1.6157 3.7465
Mg 9.5120 0.0000 1.9106
Mg 4.9004 -1.5872 7.0744
Cd 3.0886 0.0000 5.4619
Cd 6.7458 0.0000 2.0310
```

## Properties
* E above lowest polymorph: 0.035 eV/atom
* Fermi-level density of states: 0.4558 states/eV per atom
* formation energy: -61 meV per atom
* space-group type: C2/m (12)

# 14
Computed, not measured: a geometry-optimized CaMg2Cd structure at the PBE-GGA level of DFT.

Cell and atoms, written as extended XYZ:
```
4
Lattice="3.6624 -3.6579 0.0000 3.6624 3.6579 0.0000 -3.6518 0.0000 3.7331" Properties=species:S:1:pos:R:3 pbc="T T T"
Ca 0.0000 0.0000 0.0000
Mg 1.8365 1.8275 1.8665
Mg 3.6624 -0.0008 0.0000
Cd 1.8365 -1.8281 1.8665
```

## Properties
* Fermi-level density of states: 0.5306 states/eV per atom
* formation energy: -164 meV per atom
* space-group type: C2 (5)

# 15
Computed, not measured: a geometry-optimized Ca2MgCd2 structure at the PBE-GGA level of DFT.

Cell and atoms, written as extended XYZ:
```
5
Lattice="-2.3744 3.1967 4.7524 2.3744 -3.1967 4.7524 2.3744 3.1967 -4.7524" Properties=species:S:1:pos:R:3 pbc="T T T"
Ca 0.0000 0.0000 1.9144
Ca 0.0000 0.0000 7.5904
Mg 0.0000 3.1967 0.0000
Cd 2.3744 1.4628 0.0000
Cd 0.0000 1.7338 4.7524
```

## Properties
* E above lowest polymorph: 0.000 eV/atom
* Fermi-level density of states: 0.5514 states/eV per atom
* formation energy: -266 meV per atom
* space-group type: Immm (71)

# 16
Computed, not measured: a geometry-optimized CaMg2CdN structure at the PBE-GGA level of DFT.

Cell and atoms, written as extended XYZ:
```
5
Lattice="4.4302 0.0000 0.0000 0.0000 4.4302 0.0000 0.0000 0.0000 4.8970" Properties=species:S:1:pos:R:3 pbc="T T T"
Ca 0.0000 0.0000 0.0000
Mg 0.0000 2.2151 2.4485
Mg 2.2151 0.0000 2.4485
Cd 2.2151 2.2151 0.0000
N 0.0000 0.0000 2.4485
```

## Properties
* Fermi-level density of states: 0.4032 states/eV per atom
* space-group type: P4/mmm (123)
* energy relative to the elements, uncorrected: -393.0 meV/atom

# 17
Computed, not measured: a geometry-optimized Ca2MgCdN structure at the PBE-GGA level of DFT.

Cell and atoms, written as extended XYZ:
```
5
Lattice="4.9953 0.0000 0.0000 0.0000 4.9953 0.0000 0.0000 0.0000 4.3430" Properties=species:S:1:pos:R:3 pbc="T T T"
Ca 0.0000 2.4977 0.0000
Ca 2.4977 0.0000 0.0000
Mg 0.0000 0.0000 2.1715
Cd 2.4977 2.4977 2.1715
N 0.0000 0.0000 0.0000
```

## Properties
* Fermi-level density of states: 0.5387 states/eV per atom
* space-group type: P4/mmm (123)
* energy relative to the elements, uncorrected: -501.0 meV/atom

# 18
Computed, not measured: a geometry-optimized CaMgCdNi structure at the PBE-GGA level of DFT.

Cell and atoms, written as extended XYZ:
```
4
Lattice="0.0000 3.4698 3.4698 3.4698 0.0000 3.4698 3.4698 3.4698 0.0000" Properties=species:S:1:pos:R:3 pbc="T T T"
Ca 0.0000 0.0000 0.0000
Mg 3.4698 3.4698 3.4698
Cd 5.2046 5.2046 5.2046
Ni 1.7349 1.7349 1.7349
```

## Properties
* Fermi-level density of states: 0.6357 states/eV per atom
* formation energy: -59 meV per atom
* space-group type: F-43m (216)

# 19
Computed, not measured: a geometry-optimized CaMg2CdNi structure at the PBE-GGA level of DFT.

Cell and atoms, written as extended XYZ:
```
5
Lattice="4.8638 0.0000 0.0000 0.0000 4.8638 0.0000 0.0000 0.0000 5.0550" Properties=species:S:1:pos:R:3 pbc="T T T"
Ca 0.0000 0.0000 0.0000
Mg 0.0000 2.4319 2.5275
Mg 2.4319 0.0000 2.5275
Cd 2.4319 2.4319 0.0000
Ni 2.4319 2.4319 2.5275
```

## Properties
* Fermi-level density of states: 0.5969 states/eV per atom
* formation energy: -83 meV per atom
* space-group type: P4/mmm (123)